Entry from Alexandria via LeMat-Bulk: a PBEsol-optimized structure of LiVN2 (meta-GGA SCAN).

Calculated values
The formation energy (no corrections) is -1.054 eV per atom. The calculated volume is 11.06 Å³/atom. The value obtained for the relative energy among the computed polymorphs is 0 meV per atom. As for the total energy: -170.71 eV for the cell shown. The magnetization is 0.00 μB per atom.

abc: 4.9590 5.4143 6.5886
angles: 90.00 90.00 90.00
Sites, in units of the cell vectors:
1 Li 0.9888 0.5808 0.8780
2 Li 0.4888 0.4192 0.1220
3 Li 0.4888 0.9192 0.3780
4 Li 0.9888 0.0808 0.6220
5 V 0.0037 0.5744 0.3745
6 V 0.5037 0.4256 0.6255
7 V 0.5037 0.9256 0.8745
8 V 0.0037 0.0744 0.1255
9 N 0.3617 0.5554 0.3989
10 N 0.8617 0.4446 0.6011
11 N 0.8617 0.9446 0.8989
12 N 0.3617 0.0554 0.1011
13 N 0.4159 0.6045 0.8465
14 N 0.9159 0.3955 0.1535
15 N 0.9159 0.8955 0.3465
16 N 0.4159 0.1045 0.6535

=====

Entry from Alexandria via LeMat-Bulk: a PBEsol-optimized structure of LiVN2 (meta-GGA SCAN).

Calculated values
The formation energy (no corrections) is -1.036 eV per atom. The calculated volume is 11.12 Å³/atom. The value obtained for the relative energy among the computed polymorphs is 18 meV per atom. As for the total energy: -85.21 eV for the cell shown. The magnetization is 0.00 μB per atom.

abc: 4.6156 5.3002 4.6156
angles: 115.81 90.00 115.81
Sites, in units of the cell vectors:
1 N 0.3195 0.2500 0.3750
2 N 0.9305 0.2500 0.8750
3 N 0.1250 0.7500 0.6805
4 N 0.6250 0.7500 0.0695
5 Li 0.7500 0.5000 0.2500
6 Li 0.5000 0.0000 0.5000
7 V 0.2500 0.5000 0.7500
8 V 0.0000 0.0000 0.0000

=====

Entry from Alexandria via LeMat-Bulk: a PBEsol-optimized structure of Li7VN4 (meta-GGA SCAN).

Calculated values
The formation energy (no corrections) is -0.952 eV per atom. The calculated volume is 9.01 Å³/atom. As for the total energy: -165.62 eV for the cell shown. The magnetization is 0.00 μB per atom.

abc: 4.8298 6.6908 6.6908
angles: 90.00 90.00 90.00
Sites, in units of the cell vectors:
1 Li 0.5807 0.5000 0.0000
2 Li 0.0000 0.2364 0.7636
3 Li 0.9193 0.0000 0.5000
4 Li 0.0000 0.7636 0.2364
5 Li 0.5000 0.2636 0.7364
6 Li 0.0000 0.0000 0.0000
7 Li 0.0807 0.5000 0.0000
8 Li 0.5000 0.7364 0.7364
9 Li 0.5000 0.2636 0.2636
10 Li 0.0000 0.2364 0.2364
11 Li 0.0000 0.7636 0.7636
12 Li 0.5000 0.7364 0.2636
13 Li 0.4193 0.0000 0.5000
14 Li 0.5000 0.5000 0.5000
15 V 0.5000 0.0000 0.0000
16 V 0.0000 0.5000 0.5000
17 N 0.7124 0.0000 0.2254
18 N 0.2124 0.2746 0.5000
19 N 0.7876 0.5000 0.2746
20 N 0.7124 0.0000 0.7746
21 N 0.7876 0.5000 0.7254
22 N 0.2876 0.7746 0.0000
23 N 0.2124 0.7254 0.5000
24 N 0.2876 0.2254 0.0000